Compound: TlHg3
Source: Alexandria via LeMat-Bulk
Functional: GGA-PBEsol
Structure: optimized geometry

Cell and atoms, written as CIF:
```
data_TlHg3
_chemical_formula_sum 'Tl3 Hg9'
_space_group_name_H-M_alt 'R -3 m'
_space_group_IT_number 166
_space_group_name_Hall '-R 3 2"'
_cell_length_a 3.3906
_cell_length_b 3.3906
_cell_length_c 30.1156
_cell_angle_alpha 90.00
_cell_angle_beta 90.00
_cell_angle_gamma 120.00
loop_
_atom_site_label
_atom_site_type_symbol
_atom_site_fract_x
_atom_site_fract_y
_atom_site_fract_z
Tl1 Tl 0.0000 0.0000 0.0000
Hg1 Hg 0.0000 0.0000 0.2463
Hg2 Hg 0.0000 0.0000 0.5000
```

Calculated values
Its formation enthalpy at 0 K is -0.01 eV per atom. The total energy comes out at -1.10 eV per atom.



Compound: Hg2OsBr
Source: Alexandria via LeMat-Bulk
Functional: GGA-PBEsol
Structure: optimized geometry

Cell and atoms, written as CIF:
```
data_Hg2OsBr
_chemical_formula_sum 'Hg4 Os2 Br2'
_space_group_name_H-M_alt 'C m m m'
_space_group_IT_number 65
_space_group_name_Hall '-C 2 2'
_cell_length_a 2.8793
_cell_length_b 4.8559
_cell_length_c 12.2158
_cell_angle_alpha 90.00
_cell_angle_beta 90.00
_cell_angle_gamma 90.00
loop_
_atom_site_label
_atom_site_type_symbol
_atom_site_fract_x
_atom_site_fract_y
_atom_site_fract_z
Hg1 Hg 0.0000 0.0000 0.2052
Os1 Os 0.0000 0.5000 0.0000
Br1 Br 0.0000 0.5000 0.5000
```

Calculated values
The calculation puts the uncorrected formation energy at 0.72 eV per atom. The total energy comes out at -3.09 eV per atom.



Compound: Na3YIn
Source: Alexandria via LeMat-Bulk
Functional: GGA-PBEsol
Structure: optimized geometry

Cell and atoms, written as CIF:
```
data_Na3YIn
_chemical_formula_sum 'Na3 Y1 In1'
_space_group_name_H-M_alt 'P m -3 m'
_space_group_IT_number 221
_space_group_name_Hall '-P 4 2 3'
_cell_length_a 5.6138
_cell_length_b 5.6138
_cell_length_c 5.6138
_cell_angle_alpha 90.00
_cell_angle_beta 90.00
_cell_angle_gamma 90.00
loop_
_atom_site_label
_atom_site_type_symbol
_atom_site_fract_x
_atom_site_fract_y
_atom_site_fract_z
Na1 Na 0.0000 0.0000 0.5000
Y1 Y 0.5000 0.5000 0.5000
In1 In 0.0000 0.0000 0.0000
```

Calculated values
Its formation enthalpy at 0 K is 0.53 eV per atom. The total energy comes out at -2.27 eV per atom.



Compound: LiPNCl2
Source: Alexandria via LeMat-Bulk
Functional: GGA-PBEsol
Structure: optimized geometry

Cell and atoms, written as CIF:
```
data_LiPNCl2
_chemical_formula_sum 'Li1 P1 N1 Cl2'
_space_group_name_H-M_alt 'P 4/m m m'
_space_group_IT_number 123
_space_group_name_Hall '-P 4 2'
_cell_length_a 4.3479
_cell_length_b 4.3479
_cell_length_c 5.0651
_cell_angle_alpha 90.00
_cell_angle_beta 90.00
_cell_angle_gamma 90.00
loop_
_atom_site_label
_atom_site_type_symbol
_atom_site_fract_x
_atom_site_fract_y
_atom_site_fract_z
Li1 Li 0.0000 0.0000 0.0000
P1 P 0.0000 0.0000 0.5000
N1 N 0.5000 0.5000 0.5000
Cl1 Cl 0.0000 0.5000 0.0000
```

Calculated values
The calculation puts the uncorrected formation energy at 1.12 eV per atom. The total energy comes out at -2.94 eV per atom.



Compound: KHf3Co
Source: Alexandria via LeMat-Bulk
Functional: GGA-PBEsol
Structure: optimized geometry

Cell and atoms, written as CIF:
```
data_KHf3Co
_chemical_formula_sum 'K1 Hf3 Co1'
_space_group_name_H-M_alt 'P m -3 m'
_space_group_IT_number 221
_space_group_name_Hall '-P 4 2 3'
_cell_length_a 4.6712
_cell_length_b 4.6712
_cell_length_c 4.6712
_cell_angle_alpha 90.00
_cell_angle_beta 90.00
_cell_angle_gamma 90.00
loop_
_atom_site_label
_atom_site_type_symbol
_atom_site_fract_x
_atom_site_fract_y
_atom_site_fract_z
K1 K 0.0000 0.0000 0.0000
Hf1 Hf 0.0000 0.0000 0.5000
Co1 Co 0.5000 0.5000 0.5000
```

Calculated values
Its formation enthalpy at 0 K is 2.41 eV per atom. The total energy comes out at -5.66 eV per atom.



Compound: SmSi3Pt5
Source: Alexandria via LeMat-Bulk
Functional: GGA-PBEsol
Structure: optimized geometry

Cell and atoms, written as CIF:
```
data_SmSi3Pt5
_chemical_formula_sum 'Sm6 Si18 Pt30'
_space_group_name_H-M_alt 'P 63/m'
_space_group_IT_number 176
_space_group_name_Hall '-P 6c'
_cell_length_a 15.8366
_cell_length_b 15.8366
_cell_length_c 3.9466
_cell_angle_alpha 90.00
_cell_angle_beta 90.00
_cell_angle_gamma 120.00
loop_
_atom_site_label
_atom_site_type_symbol
_atom_site_fract_x
_atom_site_fract_y
_atom_site_fract_z
Sm1 Sm 0.0971 0.7071 0.2500
Si1 Si 0.0602 0.4326 0.2500
Si2 Si 0.1170 0.8686 0.7500
Si3 Si 0.2330 0.6818 0.7500
Pt1 Pt 0.0308 0.8878 0.2500
Pt2 Pt 0.0412 0.2744 0.2500
Pt3 Pt 0.0761 0.5419 0.7500
Pt4 Pt 0.1553 0.4122 0.7500
Pt5 Pt 0.2284 0.5661 0.2500
```

Calculated values
The calculation puts the uncorrected formation energy at -0.96 eV per atom. The total energy comes out at -7.31 eV per atom.



Compound: Bi12Br5O16
Source: Alexandria via LeMat-Bulk
Functional: GGA-PBEsol
Structure: optimized geometry

Cell and atoms, written as CIF:
```
data_Bi12Br5O16
_chemical_formula_sum 'Bi24 Br10 O32'
_space_group_name_H-M_alt 'C 1 2/m 1'
_space_group_IT_number 12
_space_group_name_Hall '-C 2y'
_cell_length_a 30.6802
_cell_length_b 3.9376
_cell_length_c 9.9839
_cell_angle_alpha 90.00
_cell_angle_beta 90.97
_cell_angle_gamma 90.00
loop_
_atom_site_label
_atom_site_type_symbol
_atom_site_fract_x
_atom_site_fract_y
_atom_site_fract_z
Bi1 Bi 0.0299 0.0000 0.2406
Bi2 Bi 0.0597 0.5000 0.9331
Bi3 Bi 0.0892 0.0000 0.6142
Bi4 Bi 0.1489 0.0000 0.0901
Bi5 Bi 0.1766 0.5000 0.7797
Bi6 Bi 0.2037 0.0000 0.4468
Br1 Br 0.0000 0.5000 0.5000
Br2 Br 0.1132 0.5000 0.3588
Br3 Br 0.2259 0.5000 0.1995
O1 O 0.0177 0.5000 0.1361
O2 O 0.0432 0.0000 0.7909
O3 O 0.0737 0.0000 0.0637
O4 O 0.1050 0.5000 0.7196
O5 O 0.1330 0.5000 0.9926
O6 O 0.1611 0.0000 0.6300
O7 O 0.1762 0.0000 0.8961
O8 O 0.2230 0.5000 0.5447
```

Calculated values
The calculation puts the uncorrected formation energy at -1.18 eV per atom. The total energy comes out at -5.57 eV per atom.



Compound: ScRe2Sb
Source: Alexandria via LeMat-Bulk
Functional: GGA-PBEsol
Structure: optimized geometry

Cell and atoms, written as CIF:
```
data_ScRe2Sb
_chemical_formula_sum 'Sc1 Re2 Sb1'
_space_group_name_H-M_alt 'P 4/m m m'
_space_group_IT_number 123
_space_group_name_Hall '-P 4 2'
_cell_length_a 4.4234
_cell_length_b 4.4234
_cell_length_c 3.3811
_cell_angle_alpha 90.00
_cell_angle_beta 90.00
_cell_angle_gamma 90.00
loop_
_atom_site_label
_atom_site_type_symbol
_atom_site_fract_x
_atom_site_fract_y
_atom_site_fract_z
Sc1 Sc 0.0000 0.0000 0.0000
Re1 Re 0.0000 0.5000 0.5000
Sb1 Sb 0.5000 0.5000 0.0000
```

Calculated values
The calculation puts the uncorrected formation energy at 0.17 eV per atom. The total energy comes out at -9.29 eV per atom.



Compound: SrScRh
Source: Alexandria via LeMat-Bulk
Functional: GGA-PBEsol
Structure: optimized geometry

Cell and atoms, written as CIF:
```
data_SrScRh
_chemical_formula_sum 'Sr4 Sc4 Rh4'
_space_group_name_H-M_alt 'F -4 3 m'
_space_group_IT_number 216
_space_group_name_Hall 'F -4 2 3'
_cell_length_a 6.7059
_cell_length_b 6.7059
_cell_length_c 6.7059
_cell_angle_alpha 90.00
_cell_angle_beta 90.00
_cell_angle_gamma 90.00
loop_
_atom_site_label
_atom_site_type_symbol
_atom_site_fract_x
_atom_site_fract_y
_atom_site_fract_z
Sr1 Sr 0.0000 0.0000 0.0000
Sc1 Sc 0.0000 0.0000 0.5000
Rh1 Rh 0.2500 0.2500 0.7500
```

Calculated values
As for the relative energy among the computed polymorphs: 0.00 eV/f.u. Its formation enthalpy at 0 K is -0.14 eV per atom. The total energy comes out at -5.67 eV per atom.



Compound: Mg5Sb
Source: Alexandria via LeMat-Bulk
Functional: GGA-PBEsol
Structure: optimized geometry

Cell and atoms, written as CIF:
```
data_Mg5Sb
_chemical_formula_sum 'Mg20 Sb4'
_space_group_name_H-M_alt 'F -4 3 m'
_space_group_IT_number 216
_space_group_name_Hall 'F -4 2 3'
_cell_length_a 8.2344
_cell_length_b 8.2344
_cell_length_c 8.2344
_cell_angle_alpha 90.00
_cell_angle_beta 90.00
_cell_angle_gamma 90.00
loop_
_atom_site_label
_atom_site_type_symbol
_atom_site_fract_x
_atom_site_fract_y
_atom_site_fract_z
Mg1 Mg 0.0000 0.0000 0.0000
Mg2 Mg 0.1251 0.1251 0.3749
Sb1 Sb 0.2500 0.2500 0.7500
```

Calculated values
As for the relative energy among the computed polymorphs: 0.96 eV/f.u. The calculation puts the uncorrected formation energy at 0.05 eV per atom. The total energy comes out at -2.14 eV per atom.